No. 1
RbCa2Cd9 | PBE-GGA | optimized geometry

Cell lengths 6.196, 6.196, 10.314 Å; angles 72.52, 72.52, 60.00 degrees
Sites, in units of the cell vectors:
Rb (0.000, 0.000, 0.000)
Ca (0.855, 0.855, 0.434)
Ca (0.145, 0.145, 0.566)
Cd (0.665, 0.665, 0.006)
Cd (0.335, 0.335, 0.994)
Cd (0.500, 0.500, 0.500)
Cd (0.409, 0.409, 0.259)
Cd (0.924, 0.409, 0.259)
Cd (0.409, 0.924, 0.259)
Cd (0.591, 0.591, 0.741)
Cd (0.591, 0.076, 0.741)
Cd (0.076, 0.591, 0.741)

Values from the calculation:
D(E_F) (states/eV/cell): 6.57
Symmetry: R-3m (166)
ΔE_f (eV/atom): -0.18

---

No. 2
Cd12Ag2Pd5 | PBE-GGA | optimized geometry

Cell lengths 5.979, 8.388, 9.107 Å; angles 103.24, 90.00, 110.88 degrees
Sites, in units of the cell vectors:
Cd (0.922, 0.844, 0.186)
Cd (0.046, 0.610, 0.879)
Cd (0.564, 0.610, 0.879)
Cd (0.105, 0.700, 0.414)
Cd (0.595, 0.700, 0.414)
Cd (0.476, 0.951, 0.685)
Cd (0.524, 0.049, 0.315)
Cd (0.895, 0.300, 0.586)
Cd (0.405, 0.300, 0.586)
Cd (0.954, 0.390, 0.121)
Cd (0.436, 0.390, 0.121)
Cd (0.078, 0.156, 0.814)
Ag (0.732, 0.000, 0.000)
Ag (0.268, 0.000, 0.000)
Pd (0.299, 0.597, 0.630)
Pd (0.358, 0.716, 0.141)
Pd (0.000, 0.000, 0.500)
Pd (0.642, 0.284, 0.859)
Pd (0.701, 0.403, 0.370)

Values from the calculation:
D(E_F) (states/eV/cell): 6.00
Symmetry: C2/m (12)
ΔE_f (eV/atom): -0.10

---

No. 3
Pr2H3N | PBE-GGA | optimized geometry

Cell lengths 5.629, 5.629, 5.629 Å; angles 89.99, 89.99, 90.01 degrees
Sites, in units of the cell vectors:
Pr (0.000, 0.000, 0.000)
Pr (0.500, 0.000, 0.500)
Pr (0.500, 0.500, 0.000)
Pr (0.000, 0.500, 0.500)
H (0.250, 0.750, 0.750)
H (0.750, 0.250, 0.750)
H (0.250, 0.250, 0.250)
H (0.250, 0.750, 0.250)
H (0.750, 0.250, 0.250)
H (0.750, 0.750, 0.750)
N (0.250, 0.250, 0.750)
N (0.750, 0.750, 0.250)

Values from the calculation:
D(E_F) (states/eV/cell): 1.31
Uncorrected energy (eV/atom): -5.35
Symmetry: Pn-3m (224)

---

No. 4
SiPb | PBE-GGA | optimized geometry

Cell lengths 7.006, 7.006, 7.180 Å; angles 58.34, 58.34, 30.11 degrees
Sites, in units of the cell vectors:
Si (0.654, 0.654, 0.481)
Si (0.039, 0.039, 0.434)
Si (0.653, 0.653, 0.146)
Pb (0.086, 0.086, 0.886)
Pb (0.367, 0.367, 0.364)
Pb (0.368, 0.368, 0.855)

Values from the calculation:
Energy relative to the elements, uncorrected (eV per atom): 0.33
D(E_F) (states/eV/cell): 2.41
Symmetry: Cm (8)

---

No. 5
SbHPdI2 | PBE-GGA | optimized geometry

Cell lengths 5.715, 5.715, 5.066 Å; angles 90.00, 90.00, 90.00 degrees
Each line ends with the local moment (μB).
Sites, in units of the cell vectors:
I (0.000, 0.500, 0.000)  0.02
I (0.500, 0.000, 0.000)  0.02
Sb (0.000, 0.000, 0.500)  -0.01
Pd (0.000, 0.000, 0.000)  0.00
H (0.500, 0.500, 0.500)  0.37

Values from the calculation:
D(E_F) (states/eV/cell): 2.36
Relative energy among the computed polymorphs (meV per atom): 44.3
Symmetry: P4/mmm (123)

---

No. 6
ThNi2Rh5 | PBE-GGA | optimized geometry

Cell lengths 3.812, 6.174, 6.174 Å; angles 72.42, 72.02, 72.02 degrees
Each line ends with the local moment (μB).
Sites, in units of the cell vectors:
Th (0.000, 0.000, 0.000)  -0.02
Ni (0.734, 0.766, 0.766)  0.21
Ni (0.266, 0.234, 0.234)  0.21
Rh (0.000, 0.500, 0.500)  0.19
Rh (0.648, 0.539, 0.166)  0.18
Rh (0.352, 0.461, 0.834)  0.18
Rh (0.352, 0.834, 0.461)  0.18
Rh (0.648, 0.166, 0.539)  0.18

Values from the calculation:
D(E_F) (states/eV/cell): 15.48
Symmetry: Immm (71)
ΔE_f (eV/atom): -0.15

---

No. 7
SmZnRh | PBE-GGA | optimized geometry

Cell lengths 4.167, 5.500, 6.176 Å; angles 74.64, 70.28, 67.74 degrees
Sites, in units of the cell vectors:
Sm (0.938, 0.809, 0.314)
Sm (0.062, 0.191, 0.686)
Zn (0.323, 0.270, 0.083)
Zn (0.677, 0.730, 0.917)
Rh (0.658, 0.375, 0.308)
Rh (0.342, 0.625, 0.692)

Values from the calculation:
D(E_F) (states/eV/cell): 3.60
Symmetry: C2/m (12)
ΔE_f (eV/atom): -0.62

---

No. 8
HgSbPt2 | PBE-GGA | optimized geometry

Cell lengths 3.788, 3.785, 5.538 Å; angles 90.00, 90.00, 90.00 degrees
Sites, in units of the cell vectors:
Hg (0.500, 0.500, 0.803)
Pt (0.000, 0.000, 0.959)
Pt (0.500, 0.500, 0.296)
Sb (0.000, 0.000, 0.442)

Values from the calculation:
Energy relative to the elements, uncorrected (eV per atom): -0.10
D(E_F) (states/eV/cell): 2.14
Symmetry: P4mm (99)

---

No. 9
Er2Sc3Co2 | PBE-GGA | optimized geometry

Cell lengths 3.496, 5.933, 8.408 Å; angles 115.38, 90.00, 107.14 degrees
Sites, in units of the cell vectors:
Er (0.837, 0.674, 0.200)
Er (0.163, 0.326, 0.800)
Sc (0.500, 0.000, 0.000)
Sc (0.622, 0.244, 0.430)
Sc (0.378, 0.756, 0.570)
Co (0.832, 0.664, 0.763)
Co (0.168, 0.336, 0.237)

Values from the calculation:
D(E_F) (states/eV/cell): 7.55
Relative energy among the computed polymorphs (meV per atom): 0.0
Symmetry: C2/m (12)
ΔE_f (eV/atom): -0.22